{
  "formula": "K2BiAsS4",
  "functional": "PBE-GGA",
  "state": "relaxed",
  "lattice": [[-3.670, 3.670, 4.919], [3.670, -3.670, 4.919], [3.670, 3.670, -4.919]],
  "species": ["K", "K", "Bi", "As", "S", "S", "S", "S"],
  "fractional_positions": [[0.000, 0.000, 0.000], [0.750, 0.250, 0.500], [0.250, 0.750, 0.500], [0.500, 0.500, 0.000], [0.202, 0.622, 0.052], [0.378, 0.430, 0.580], [0.570, 0.150, 0.948], [0.850, 0.798, 0.420]],
  "raw_formation_energy_ev_per_atom": -0.54
}

{
  "formula": "KBiAs2Se",
  "functional": "PBE-GGA",
  "state": "relaxed",
  "lattice": [[5.574, 0.000, 0.000], [0.000, 5.574, 0.000], [0.000, 0.000, 5.781]],
  "species": ["K", "Bi", "As", "As", "Se"],
  "fractional_positions": [[0.000, 0.000, 0.000], [0.500, 0.500, 0.500], [0.000, 0.500, 0.500], [0.500, 0.000, 0.500], [0.500, 0.500, 0.000]],
  "de_polymorph_ev_per_atom": 0.0000,
  "raw_formation_energy_ev_per_atom": 0.29
}

{
  "formula": "KBiAs2Se",
  "functional": "PBE-GGA",
  "state": "relaxed",
  "lattice": [[5.384, 0.000, 0.000], [0.000, 5.384, 0.000], [0.000, 0.000, 5.487]],
  "species": ["K", "Bi", "As", "As", "Se"],
  "fractional_positions": [[0.000, 0.000, 0.000], [0.500, 0.500, 0.500], [0.000, 0.500, 0.000], [0.500, 0.000, 0.000], [0.000, 0.000, 0.500]],
  "de_polymorph_ev_per_atom": 0.9402,
  "raw_formation_energy_ev_per_atom": 1.23
}

{
  "formula": "K4Bi3AsSe8",
  "functional": "PBE-GGA",
  "state": "relaxed",
  "lattice": [[4.246, 2.452, 7.755], [-4.246, 2.452, 7.755], [0.000, -4.903, 7.755]],
  "species": ["K", "K", "K", "K", "Bi", "Bi", "Bi", "As", "Se", "Se", "Se", "Se", "Se", "Se", "Se", "Se"],
  "fractional_positions": [[0.000, 0.000, 0.000], [0.000, 0.500, 0.500], [0.500, 0.000, 0.500], [0.500, 0.500, 0.000], [0.000, 0.000, 0.500], [0.000, 0.500, 0.000], [0.500, 0.000, 0.000], [0.500, 0.500, 0.500], [0.239, 0.239, 0.239], [0.254, 0.726, 0.726], [0.274, 0.274, 0.746], [0.274, 0.746, 0.274], [0.726, 0.254, 0.726], [0.726, 0.726, 0.254], [0.746, 0.274, 0.274], [0.761, 0.761, 0.761]],
  "raw_formation_energy_ev_per_atom": -0.73
}

{
  "formula": "K2BiAsSe4",
  "functional": "PBE-GGA",
  "state": "relaxed",
  "lattice": [[-4.271, 4.414, 6.140], [4.271, -4.414, 6.140], [4.271, 4.414, -6.140]],
  "species": ["K", "K", "K", "K", "Bi", "Bi", "As", "As", "Se", "Se", "Se", "Se", "Se", "Se", "Se", "Se"],
  "fractional_positions": [[0.000, 0.000, 0.000], [0.500, 0.000, 0.000], [0.500, 0.000, 0.500], [0.500, 0.500, 0.500], [0.000, 0.500, 0.500], [0.500, 0.500, 0.000], [0.000, 0.000, 0.500], [0.000, 0.500, 0.000], [0.201, 0.742, 0.459], [0.217, 0.258, 0.959], [0.228, 0.245, 0.516], [0.228, 0.712, 0.984], [0.772, 0.288, 0.016], [0.772, 0.755, 0.484], [0.783, 0.742, 0.041], [0.799, 0.258, 0.541]],
  "raw_formation_energy_ev_per_atom": -0.63
}

{
  "formula": "KBi2As2Se6",
  "functional": "PBE-GGA",
  "state": "relaxed",
  "lattice": [[7.360, 0.000, 0.000], [-0.661, 7.817, 0.000], [-3.456, -3.564, 6.679]],
  "species": ["K", "Bi", "Bi", "As", "As", "Se", "Se", "Se", "Se", "Se", "Se"],
  "fractional_positions": [[0.000, 0.000, 0.000], [0.334, 0.008, 0.642], [0.666, 0.992, 0.358], [0.173, 0.465, 0.597], [0.827, 0.535, 0.403], [0.039, 0.271, 0.713], [0.333, 0.779, 0.881], [0.412, 0.219, 0.463], [0.588, 0.781, 0.537], [0.667, 0.221, 0.119], [0.961, 0.729, 0.287]],
  "raw_formation_energy_ev_per_atom": -0.35
}

{
  "formula": "K2SiBiAs",
  "functional": "PBE-GGA",
  "state": "relaxed",
  "lattice": [[6.528, 0.000, 0.000], [0.000, 6.528, 0.000], [0.000, 0.000, 5.151]],
  "species": ["K", "K", "Si", "Bi", "As"],
  "fractional_positions": [[0.000, 0.500, 0.000], [0.500, 0.000, 0.000], [0.000, 0.000, 0.000], [0.000, 0.000, 0.500], [0.500, 0.500, 0.500]],
  "raw_formation_energy_ev_per_atom": 0.47
}

{
  "formula": "KTcBi2As",
  "functional": "PBE-GGA",
  "state": "relaxed",
  "lattice": [[5.826, 0.000, 0.000], [0.000, 5.826, 0.000], [0.000, 0.000, 4.918]],
  "species": ["K", "Tc", "Bi", "Bi", "As"],
  "fractional_positions": [[0.000, 0.000, 0.000], [0.000, 0.000, 0.500], [0.000, 0.500, 0.000], [0.500, 0.000, 0.000], [0.500, 0.500, 0.500]],
  "de_polymorph_ev_per_atom": 1.2887,
  "formation_energy_ev_per_atom": 2.01
}

{
  "formula": "KTcBi2As",
  "functional": "PBE-GGA",
  "state": "relaxed",
  "lattice": [[5.243, 0.000, 0.000], [0.000, 5.243, 0.000], [0.000, 0.000, 5.795]],
  "species": ["K", "Tc", "Bi", "Bi", "As"],
  "fractional_positions": [[0.000, 0.000, 0.000], [0.000, 0.000, 0.500], [0.000, 0.500, 0.500], [0.500, 0.000, 0.500], [0.500, 0.500, 0.000]],
  "de_polymorph_ev_per_atom": 0.0000,
  "formation_energy_ev_per_atom": 0.72
}

{
  "formula": "KZrBi2As",
  "functional": "PBE-GGA",
  "state": "relaxed",
  "lattice": [[5.854, 0.000, 0.000], [0.000, 5.854, 0.000], [0.000, 0.000, 5.100]],
  "species": ["K", "Zr", "Bi", "Bi", "As"],
  "fractional_positions": [[0.000, 0.000, 0.000], [0.500, 0.500, 0.000], [0.000, 0.500, 0.500], [0.500, 0.000, 0.500], [0.500, 0.500, 0.500]],
  "formation_energy_ev_per_atom": 0.20
}

{
  "formula": "La4Bi3As",
  "functional": "PBE-GGA",
  "state": "relaxed",
  "lattice": [[4.634, -6.538, 0.000], [4.634, 6.538, 0.000], [0.000, 0.000, 4.614]],
  "species": ["La", "La", "La", "La", "Bi", "Bi", "Bi", "As"],
  "fractional_positions": [[0.236, 0.236, 0.500], [0.243, 0.757, 0.000], [0.757, 0.243, 0.000], [0.764, 0.764, 0.500], [0.000, 0.500, 0.500], [0.500, 0.000, 0.500], [0.500, 0.500, 0.000], [0.000, 0.000, 0.000]],
  "formation_energy_ev_per_atom": -1.16
}

{
  "formula": "La2BiAs",
  "functional": "PBE-GGA",
  "state": "relaxed",
  "lattice": [[2.259, 1.305, 7.471], [-2.259, 1.305, 7.471], [0.000, -2.609, 7.471]],
  "species": ["La", "La", "Bi", "As"],
  "fractional_positions": [[0.243, 0.243, 0.243], [0.757, 0.757, 0.757], [0.000, 0.000, 0.000], [0.500, 0.500, 0.500]],
  "formation_energy_ev_per_atom": -1.30
}

Short version: E = -3.9448; -3.2603; -2.3200; -3.7647; -3.7119; -3.8992; -2.7610; -2.7672; -4.0560; -4.2157; -5.6596; -5.8920 eV per atom, in the order given.
Short version: total magnetization = 0.000; 2.130; 0.000; 0.000; 0.000; 0.000; 2.145; 2.647; 1.132; 0.365; 0.000; 0.000 μB/f.u., in the order given.